No. 1
Entry from Alexandria: Tm2IrOs after structural relaxation (PBE).

Cell: 4.7613 4.7613 4.7613 Å, 60.00 60.00 60.00°
Fractional positions:
Tm 0.7500 0.7500 0.7500
Os 0.0000 0.0000 0.0000
Ir 0.5000 0.5000 0.5000
Tm 0.2500 0.2500 0.2500

Results
For the total magnetic moment, the calculation gives 0.0 μB per cell.

No. 2
Entry from Alexandria: CdTcHg after structural relaxation (PBE).

Cell: 2.9747 2.9747 7.4017 Å, 90.00 90.00 120.00°
Each line ends with the local moment (μB).
Fractional positions:
Hg 0.6667 0.3333 0.3498  0.00
Cd 0.0000 0.0000 0.9822  0.00
Tc 0.3333 0.6667 0.6680  0.64

Results
For the total magnetic moment, the calculation gives 0.7 μB per cell.

No. 3
Entry from Alexandria: BeCrP after structural relaxation (PBE).

Cell: 7.7749 4.2247 7.4611 Å, 90.00 90.00 90.00°
Fractional positions:
P 0.5000 0.0000 0.0299
Be 0.7500 0.2500 0.5966
P 0.7500 0.2500 0.2799
Cr 0.0000 0.0000 0.1824
Be 0.5000 0.0000 0.3466
Be 0.7500 0.7500 0.0966
P 0.2500 0.2500 0.7799
Be 0.0000 0.5000 0.3466
Cr 0.2500 0.2500 0.4324
Be 0.5000 0.5000 0.8466
Cr 0.7500 0.2500 0.9324
P 0.0000 0.5000 0.0299
Be 0.2500 0.7500 0.5966
P 0.0000 0.0000 0.5299
Cr 0.0000 0.5000 0.6824
Cr 0.2500 0.7500 0.9324
Be 0.2500 0.2500 0.0966
Cr 0.5000 0.5000 0.1824
P 0.7500 0.7500 0.7799
Cr 0.5000 0.0000 0.6824
Be 0.0000 0.0000 0.8466
Cr 0.7500 0.7500 0.4324
P 0.2500 0.7500 0.2799
P 0.5000 0.5000 0.5299

Results
For the total magnetic moment, the calculation gives 0.0 μB per cell.

Number 1: offset from the most stable computed form 0.00 eV/f.u.. Number 2: offset from the most stable computed form 0.00 eV/f.u.. Number 3: offset from the most stable computed form 0.00 eV/f.u..